Record 1
CsSrHf2Mg: single point on PBEsol structure, meta-GGA SCAN.

POSCAR file:
```
CsSrHf2Mg
1.0
5.339 0.000 0.000
0.000 5.339 0.000
0.000 0.000 5.764
Mg Sr Hf Cs
1 1 2 1
Direct
0.500 0.500 0.500
0.000 0.000 0.500
0.500 0.000 0.000
0.000 0.500 0.000
0.000 0.000 0.000
```

Properties
Energy relative to the elements, meV/atom: 1869

Record 2
CsHf2PtN: single point on PBEsol structure, meta-GGA SCAN.

POSCAR file:
```
CsHf2PtN
1.0
4.396 0.000 0.000
0.000 4.396 0.000
0.000 0.000 5.021
Cs N Hf Pt
1 1 2 1
Direct
0.500 0.500 0.500
0.000 0.000 0.000
0.000 0.500 0.000
0.500 0.000 0.000
0.000 0.000 0.500
```

Properties
Uncorrected formation energy, eV per atom: 0.407

Record 3
CsHfSN2: single point on PBEsol structure, meta-GGA SCAN.

POSCAR file:
```
CsHfSN2
1.0
4.089 0.000 0.000
0.000 4.089 0.000
0.000 0.000 5.744
N S Cs Hf
2 1 1 1
Direct
0.000 0.500 0.000
0.500 0.000 0.000
0.000 0.000 0.500
0.000 0.000 0.000
0.500 0.500 0.500
```

Properties
Uncorrected formation energy, eV per atom: 2.173

Record 4
Cs2NaHfPb: single point on PBEsol structure, meta-GGA SCAN.

POSCAR file:
```
Cs2NaHfPb
1.0
-1.176 3.641 3.987
-7.171 -0.360 -1.787
-0.918 -5.554 4.802
Cs Hf Na Pb
2 1 1 1
Direct
0.000 0.500 0.000
0.000 0.000 0.500
0.500 0.000 0.000
0.500 0.500 0.500
0.000 0.000 0.000
```

Properties
Energy relative to the elements, meV/atom: 582

Record 5
Cs2NaHfSn: single point on PBEsol structure, meta-GGA SCAN.

POSCAR file:
```
Cs2NaHfSn
1.0
-4.611 -2.864 -1.748
2.111 -0.029 -5.521
2.764 -5.112 1.083
Hf Cs Na Sn
1 2 1 1
Direct
0.500 0.500 0.500
0.000 0.000 0.500
0.000 0.500 0.000
0.000 0.000 0.000
0.500 0.000 0.000
```

Properties
Energy relative to the elements, meV/atom: 1110

Record 6
Cs2HfW3O12: single point on PBEsol structure, meta-GGA SCAN.

POSCAR file:
```
Cs2HfW3O12
1.0
7.331 0.000 0.000
3.665 6.349 0.000
3.665 2.116 6.086
Cs W O Hf
2 3 12 1
Direct
0.628 0.628 0.117
0.372 0.372 0.883
0.500 0.000 0.500
0.000 0.000 0.500
0.000 0.500 0.500
0.064 0.672 0.199
0.693 0.061 0.553
0.307 0.307 0.447
0.328 0.936 0.801
0.936 0.936 0.801
0.307 0.939 0.447
0.939 0.307 0.447
0.936 0.328 0.801
0.672 0.064 0.199
0.061 0.693 0.553
0.064 0.064 0.199
0.693 0.693 0.553
0.000 0.000 0.000
```

Properties
Uncorrected formation energy, eV per atom: -2.601

Record 7
Cs3Hf2P5S18: single point on PBEsol structure, meta-GGA SCAN.

POSCAR file:
```
Cs3Hf2P5S18
1.0
6.808 -0.008 -0.005
-0.361 6.799 -0.005
-1.907 -2.009 33.791
S Hf Cs P
36 4 6 10
Direct
0.890 0.242 0.428
0.512 0.005 0.390
0.078 0.724 0.669
0.309 0.672 0.189
0.768 0.278 0.602
0.866 0.953 0.728
0.250 0.816 0.828
0.774 0.319 0.951
0.816 0.250 0.328
0.953 0.866 0.228
0.242 0.890 0.928
0.724 0.078 0.169
0.981 0.494 0.032
0.826 0.523 0.142
0.788 0.699 0.464
0.928 0.137 0.512
0.977 0.381 0.235
0.334 0.432 0.976
0.278 0.768 0.102
0.660 0.303 0.789
0.188 0.197 0.155
0.526 0.494 0.383
0.699 0.788 0.964
0.672 0.309 0.689
0.005 0.512 0.890
0.197 0.188 0.655
0.137 0.928 0.012
0.381 0.977 0.735
0.494 0.526 0.883
0.494 0.981 0.532
0.432 0.334 0.476
0.833 0.885 0.088
0.885 0.833 0.588
0.319 0.774 0.451
0.523 0.826 0.642
0.303 0.660 0.289
0.849 0.025 0.654
0.032 0.634 0.964
0.025 0.849 0.154
0.634 0.032 0.464
0.277 0.488 0.569
0.770 0.978 0.865
0.437 0.155 0.254
0.488 0.277 0.069
0.978 0.770 0.365
0.155 0.437 0.754
0.238 0.699 0.880
0.568 0.520 0.945
0.057 0.768 0.059
0.304 0.932 0.674
0.152 0.658 0.238
0.768 0.057 0.559
0.520 0.568 0.445
0.699 0.238 0.380
0.658 0.152 0.738
0.932 0.304 0.174
```

Properties
Uncorrected formation energy, eV per atom: -0.945

Record 8
CsHfPb3: single point on PBEsol structure, meta-GGA SCAN.

POSCAR file:
```
CsHfPb3
1.0
5.641 0.000 0.000
0.000 5.641 0.000
0.000 0.000 5.641
Pb Hf Cs
3 1 1
Direct
0.500 0.000 0.000
0.000 0.500 0.000
0.000 0.000 0.500
0.000 0.000 0.000
0.500 0.500 0.500
```

Properties
Energy relative to the elements, meV/atom: -161

Record 9
CsHfSc2: single point on PBEsol structure, meta-GGA SCAN.

POSCAR file:
```
CsHfSc2
1.0
-3.069 -0.900 0.860
-1.620 -2.273 -1.783
2.800 -9.473 6.457
Sc Hf Cs
2 1 1
Direct
0.098 0.098 0.707
0.902 0.902 0.293
0.500 0.500 0.500
0.000 0.000 0.000
```

Properties
Energy relative to the elements, meV/atom: 446

Record 10
Cs2HfSe: single point on PBEsol structure, meta-GGA SCAN.

POSCAR file:
```
Cs2HfSe
1.0
6.004 0.000 0.000
3.002 5.200 0.000
3.002 1.733 4.902
Cs Se Hf
2 1 1
Direct
0.750 0.750 0.750
0.250 0.250 0.250
0.000 0.000 0.000
0.500 0.500 0.500
```

Properties
Uncorrected formation energy, eV per atom: 0.696

Record 11
CsHfSe2: single point on PBEsol structure, meta-GGA SCAN.

POSCAR file:
```
CsHfSe2
1.0
7.125 0.038 0.062
-2.719 6.586 -0.062
-2.719 -2.969 5.879
Hf Se Cs
2 4 2
Direct
0.000 0.000 0.000
0.500 0.750 0.250
0.895 0.875 0.270
0.395 0.020 0.125
0.605 0.730 0.625
0.105 0.375 0.980
0.500 0.250 0.750
0.000 0.500 0.500
```

Properties
Uncorrected formation energy, eV per atom: -1.184

Record 12
CsHfZn2Se: single point on PBEsol structure, meta-GGA SCAN.

POSCAR file:
```
CsHfZn2Se
1.0
-0.406 2.755 -4.811
-4.941 2.008 1.567
2.755 4.811 2.522
Zn Cs Se Hf
2 1 1 1
Direct
0.500 0.000 0.000
0.000 0.500 0.000
0.000 0.000 0.000
0.500 0.500 0.500
0.000 0.000 0.500
```

Properties
Uncorrected formation energy, eV per atom: 1.902

Record 13
CsHfSi3: single point on PBEsol structure, meta-GGA SCAN.

POSCAR file:
```
CsHfSi3
1.0
-3.038 2.209 -3.510
-1.939 -4.603 -1.218
-3.666 0.604 3.553
Cs Si Hf
1 3 1
Direct
0.500 0.500 0.500
0.000 0.000 0.500
0.500 0.000 0.000
0.000 0.500 0.000
0.000 0.000 0.000
```

Properties
Uncorrected formation energy, eV per atom: 0.401

Record 14
Cs2Sr2Hf: single point on PBEsol structure, meta-GGA SCAN.

POSCAR file:
```
Cs2Sr2Hf
1.0
-0.593 -4.486 -0.972
4.559 -0.463 -0.644
-0.755 0.052 11.242
Cs Sr Hf
2 2 1
Direct
0.750 0.250 0.500
0.250 0.750 0.500
0.418 0.418 0.837
0.582 0.582 0.163
0.000 0.000 0.000
```

Properties
Energy relative to the elements, meV/atom: 1019

Record 15
CsHfTc3: single point on PBEsol structure, meta-GGA SCAN.

POSCAR file:
```
CsHfTc3
1.0
4.950 0.000 0.000
0.000 4.950 0.000
0.000 0.000 4.950
Tc Cs Hf
3 1 1
Direct
0.500 0.000 0.000
0.000 0.000 0.500
0.000 0.500 0.000
0.500 0.500 0.500
0.000 0.000 0.000
```

Properties
Energy relative to the elements, meV/atom: 1932

Record 16
CsHf2Te2: single point on PBEsol structure, meta-GGA SCAN.

POSCAR file:
```
CsHf2Te2
1.0
-1.443 3.892 -0.177
-3.765 -1.441 -1.003
0.476 -1.625 9.154
Hf Cs Te
2 1 2
Direct
0.750 0.250 0.500
0.250 0.750 0.500
0.000 0.000 0.000
0.632 0.632 0.264
0.368 0.368 0.736
```

Properties
Uncorrected formation energy, eV per atom: -0.655

Record 17
CsYHf3: single point on PBEsol structure, meta-GGA SCAN.

POSCAR file:
```
CsYHf3
1.0
-1.254 -0.486 -5.034
4.789 -1.781 -1.021
-1.626 -4.872 0.875
Cs Hf Y
1 3 1
Direct
0.000 0.000 0.000
0.500 0.000 0.000
0.000 0.500 0.000
0.000 0.000 0.500
0.500 0.500 0.500
```

Properties
Energy relative to the elements, meV/atom: 1898

Record 18
CsY2HfZn: single point on PBEsol structure, meta-GGA SCAN.

POSCAR file:
```
CsY2HfZn
1.0
-3.831 -1.908 3.011
-2.696 -1.646 -4.473
2.578 -4.826 0.222
Cs Y Hf Zn
1 2 1 1
Direct
0.000 0.000 0.000
0.000 0.000 0.500
0.000 0.500 0.000
0.500 0.000 0.000
0.500 0.500 0.500
```

Properties
Energy relative to the elements, meV/atom: 1758

Record 19
Cs3Hg20: single point on PBEsol structure, meta-GGA SCAN.

POSCAR file:
```
Cs3Hg20
1.0
10.912 0.000 0.000
0.000 10.912 0.000
0.000 0.000 10.912
Hg Cs
40 6
Direct
0.000 0.256 0.135
0.865 0.000 0.744
0.000 0.744 0.865
0.750 0.250 0.750
0.250 0.250 0.250
0.500 0.635 0.756
0.244 0.500 0.365
0.750 0.750 0.250
0.000 0.500 0.250
0.500 0.365 0.756
0.500 0.365 0.244
0.500 0.635 0.244
0.250 0.750 0.750
0.500 0.500 0.500
0.256 0.865 0.000
0.000 0.000 0.000
0.750 0.250 0.250
0.744 0.865 0.000
0.000 0.744 0.135
0.244 0.500 0.635
0.756 0.500 0.365
0.250 0.000 0.500
0.744 0.135 0.000
0.250 0.250 0.750
0.250 0.750 0.250
0.365 0.244 0.500
0.365 0.756 0.500
0.500 0.250 0.000
0.000 0.500 0.750
0.635 0.244 0.500
0.256 0.135 0.000
0.756 0.500 0.635
0.635 0.756 0.500
0.135 0.000 0.744
0.750 0.750 0.750
0.000 0.256 0.865
0.500 0.750 0.000
0.750 0.000 0.500
0.865 0.000 0.256
0.135 0.000 0.256
0.500 0.000 0.250
0.500 0.000 0.750
0.250 0.500 0.000
0.750 0.500 0.000
0.000 0.750 0.500
0.000 0.250 0.500
```

Properties
Energy relative to the elements, meV/atom: -197

Record 20
CsHg: single point on PBEsol structure, meta-GGA SCAN.

POSCAR file:
```
CsHg
1.0
-2.039 6.794 0.371
-5.977 -2.345 3.511
5.665 -0.426 4.865
Cs Hg
4 4
Direct
0.246 0.660 0.456
0.754 0.340 0.544
0.314 0.214 0.862
0.686 0.786 0.138
0.813 0.897 0.714
0.870 0.257 0.050
0.187 0.103 0.286
0.130 0.743 0.950
```

Properties
Energy relative to the elements, meV/atom: -319

| no. | magnetic moment (μB per formula unit) | final energy (eV/atom) |
| --- | --- | --- |
| 1 | 0.0 | -36.21 |
| 2 | 0.0 | -48.12 |
| 3 | 0.0 | -23.57 |
| 4 | 0.0 | -43.08 |
| 5 | 1.3 | -34.58 |
| 6 | 0.0 | -26.05 |
| 7 | 0.0 | -17.52 |
| 8 | 0.0 | -65.73 |
| 9 | 0.0 | -31.79 |
| 10 | 2.0 | -38.90 |
| 11 | 1.0 | -36.34 |
| 12 | 2.4 | -27.62 |
| 13 | 0.0 | -25.71 |
| 14 | 1.4 | -35.55 |
| 15 | 5.3 | -39.20 |
| 16 | 0.0 | -48.19 |
| 17 | 0.0 | -48.84 |
| 18 | 0.0 | -32.18 |
| 19 | 0.0 | -64.40 |
| 20 | 0.0 | -53.31 |